# 1
## FeCoGe2Mo (PBE)

Data for a relaxed structure of FeCoGe2Mo.

Results
Calculated volume: 104.68 Å³/cell
Space-group type: P4/mmm, No. 123
Mass density: 5.65 g/cm³
Relative energy among the computed polymorphs: 1.906 eV per formula unit
VASP energy: -29.42 eV/cell

Lattice parameters (Å, degrees): 4.8606 4.4308 4.8606 90.00 90.00 90.00
With the nearest neighbours (Å) after each atom.
Fractional positions:
Co: 0.0000 0.5000 0.0000  2 Mo 2.22
Mo: 0.0000 0.0000 0.0000  2 Co 2.22, 4 Ge 2.43
Ge: 0.0000 0.0000 0.5000  2 Mo 2.43
Ge: 0.5000 0.0000 0.0000  2 Mo 2.43
Fe: 0.5000 0.5000 0.5000  8 Ge 3.29, 4 Co 3.44

# 2
## Fe2Co5GeMo2 (PBE)

Data for a relaxed structure of Fe2Co5GeMo2.

Results
Calculated volume: 243.64 Å³/cell
Space-group type: P4/mbm, No. 127
Mass density: 9.14 g/cm³
VASP energy: -155.11 eV/cell

Lattice parameters (Å, degrees): 3.6913 8.1243 8.1243 90.00 90.00 90.00
With the nearest neighbours (Å) after each atom.
Fractional positions:
Fe: 0.0000 0.3724 0.1276  6 Co 2.34-2.36, 3 Mo 2.36-2.41
Fe: 0.0000 0.6276 0.8724  6 Co 2.34-2.36, 3 Mo 2.36-2.41
Fe: 0.0000 0.1276 0.6276  6 Co 2.34-2.36, 3 Mo 2.36-2.41
Fe: 0.0000 0.8724 0.3724  6 Co 2.34-2.36, 3 Mo 2.36-2.41
Mo: 0.0000 0.6668 0.1668  3 Fe 2.36-2.41
Mo: 0.0000 0.3332 0.8332  3 Fe 2.36-2.41
Mo: 0.0000 0.1668 0.3332  3 Fe 2.36-2.41
Mo: 0.0000 0.8332 0.6668  3 Fe 2.36-2.41
Co: 0.5000 0.9290 0.2047  2 Fe 2.34, 4 Co 2.47-2.58, 2 Ge 2.55
Co: 0.5000 0.2953 0.5710  2 Fe 2.34, 4 Co 2.47-2.58, 2 Ge 2.55
Co: 0.5000 0.0710 0.7953  2 Fe 2.34, 4 Co 2.47-2.58, 2 Ge 2.55
Co: 0.5000 0.5710 0.7047  2 Fe 2.34, 4 Co 2.47-2.58, 2 Ge 2.55
Co: 0.5000 0.4290 0.2953  2 Fe 2.34, 4 Co 2.47-2.58, 2 Ge 2.55
Co: 0.5000 0.0000 0.5000  4 Fe 2.36, 4 Co 2.47
Co: 0.5000 0.5000 0.0000  4 Fe 2.36, 4 Co 2.47
Co: 0.5000 0.2047 0.0710  2 Fe 2.34, 4 Co 2.47-2.58, 2 Ge 2.55
Co: 0.5000 0.7047 0.4290  2 Fe 2.34, 4 Co 2.47-2.58, 2 Ge 2.55
Co: 0.5000 0.7953 0.9290  2 Fe 2.34, 4 Co 2.47-2.58, 2 Ge 2.55
Ge: 0.0000 0.5000 0.5000  8 Co 2.55
Ge: 0.0000 0.0000 0.0000  8 Co 2.55

# 3
## Fe2CoGeMo (PBE)

Data for a relaxed structure of Fe2CoGeMo.

Results
Calculated volume: 81.75 Å³/cell
Space-group type: P4/mmm, No. 123
Mass density: 6.89 g/cm³
VASP energy: -31.92 eV/cell

Lattice parameters (Å, degrees): 4.2098 4.6130 4.2098 90.00 90.00 90.00
With the nearest neighbours (Å) after each atom.
Fractional positions:
Fe: 0.0000 0.0000 0.5000  2 Ge 2.10
Fe: 0.5000 0.0000 0.0000  2 Ge 2.10
Mo: 0.0000 0.5000 0.0000  2 Ge 2.31
Co: 0.5000 0.5000 0.5000  4 Mo 2.98, 8 Fe 3.12
Ge: 0.0000 0.0000 0.0000  4 Fe 2.10, 2 Mo 2.31

Number 3 is which compound?
Fe2CoGeMo

What is the formula in the first record?
FeCoGe2Mo

Which formula does entry 2 have?
Fe2Co5GeMo2

calculated volume of number 1 (FeCoGe2Mo)?
104.68 Å³/cell